# 1
# TlCrTeF2

Crystalline TlCrTeF2 at its relaxed geometry (PBE+U, Alexandria via LeMat-Bulk).

## Properties
VASP energy: -4.8194 eV/atom

Cell: 4.219 4.219 6.171 Å, 90.00 90.00 90.00°
Each line ends with the local moment (μB).
Positions (direct):
Tl: 0.500 0.500 0.500  -0.01
F: 0.000 0.500 0.000  0.00
F: 0.500 0.000 0.000  0.00
Te: 0.000 0.000 0.500  -0.04
Cr: 0.000 0.000 0.000  3.73

***

# 2
# Pr2Zn2NiO6

Crystalline Pr2Zn2NiO6 at its relaxed geometry (PBE+U, Alexandria via LeMat-Bulk).

## Properties
VASP energy: -5.8847 eV/atom

Cell: 5.854 5.854 6.275 Å, 62.20 62.20 60.00°
Each line ends with the local moment (μB).
Positions (direct):
O: 0.240 0.240 0.728  0.03
O: 0.760 0.760 0.272  0.03
O: 0.791 0.240 0.728  0.03
O: 0.240 0.791 0.728  0.03
O: 0.209 0.760 0.272  0.03
O: 0.760 0.209 0.272  0.03
Zn: 0.583 0.583 0.252  0.01
Zn: 0.417 0.417 0.748  0.01
Pr: 0.798 0.798 0.607  0.00
Pr: 0.202 0.202 0.393  0.00
Ni: 0.000 0.000 0.000  1.77

***

Copy entry 1 word for word.
# TlCrTeF2

Crystalline TlCrTeF2 at its relaxed geometry (PBE+U, Alexandria via LeMat-Bulk).

## Properties
VASP energy: -4.8194 eV/atom

Cell: 4.219 4.219 6.171 Å, 90.00 90.00 90.00°
Each line ends with the local moment (μB).
Positions (direct):
Tl: 0.500 0.500 0.500  -0.01
F: 0.000 0.500 0.000  0.00
F: 0.500 0.000 0.000  0.00
Te: 0.000 0.000 0.500  -0.04
Cr: 0.000 0.000 0.000  3.73